{
  "formula": "GaTcAsSe2",
  "functional": "GGA-PBE",
  "state": "optimized geometry",
  "lattice_angstrom": [[-4.036, 2.473, 1.462], [-2.208, -1.058, -4.307], [-1.801, -4.078, 1.924]],
  "species": ["As", "Ga", "Se", "Se", "Tc"],
  "frac_coords": [[0.000, 0.000, 0.500], [0.000, 0.000, 0.000], [0.000, 0.500, 0.000], [0.500, 0.000, 0.000], [0.500, 0.500, 0.500]],
  "energy_ev_per_atom": -4.007,
  "e_form_raw_mev_per_atom": 995
}